Entry from Alexandria via LeMat-Bulk: a relaxed TeMo3F crystal (GGA+U).

Cell: 4.470 4.470 4.470 Å, 90.00 90.00 90.00°
Each line ends with the local moment (μB).
Atoms (fractional coordinates):
Mo 0.000 0.000 0.500  1.18
Mo 0.500 0.000 0.000  1.47
Mo 0.000 0.500 0.000  1.36
F 0.000 0.000 0.000  0.03
Te 0.500 0.500 0.500  -0.05

Values from the calculation:
* excess energy over the best structure of this formula in the dataset: 3.971 kcal/mol of atoms